First-principles (PBE-GGA) data for a relaxed TlMo2Br crystal, as listed in Alexandria via LeMat-Bulk.

Calculated values
Formation energy from raw total energies   434 meV per atom
Magnetization   0.0 Bohr magnetons per cell
Energy relative to the lowest polymorph listed for this composition   0.1356 eV per atom
D(E_F)   3.5 states/eV/f.u.

Lattice parameters (Å, degrees): 3.1568 3.1568 9.9599 90.00 90.00 116.31
Closest atoms and distances in Å follow each position.
Positions (direct):
Tl: 0.0000 0.0000 0.0000  2 Mo 3.15, 6 Tl 3.16-3.33
Mo: 0.0000 0.0000 0.4483  2 Mo 2.45, 2 Br 2.74
Mo: 0.5000 0.5000 0.2679  2 Mo 2.45
Br: 0.5000 0.5000 0.6669  2 Mo 2.74